Record 1
Compound: Ba2CdPb
Source: OQMD
Functional: PBE
Structure: optimized geometry

Cell and atoms, written as POSCAR:
```
Ba2CdPb
1.0
4.252 0.000 0.000
0.000 4.252 0.000
0.000 0.000 8.689
Pb Cd Ba
1 1 2
direct
0.000 0.000 0.000
0.000 0.000 0.500
0.500 0.500 0.750
0.500 0.500 0.250
```

Results
The value obtained for the energy above the most stable polymorph in this dataset is 0.063 eV per atom.

---

Record 2
Compound: Ba2CdPb
Source: OQMD
Functional: PBE
Structure: optimized geometry

Cell and atoms, written as POSCAR:
```
Ba2CdPb
1.0
0.000 4.204 4.204
4.204 0.000 4.204
4.204 4.204 0.000
Pb Cd Ba
1 1 2
direct
0.750 0.750 0.750
0.500 0.500 0.500
0.000 0.000 0.000
0.250 0.250 0.250
```

Results
The value obtained for the energy above the most stable polymorph in this dataset is 0.307 eV per atom.

---

Record 3
Compound: Ba2CdPb
Source: OQMD
Functional: PBE
Structure: optimized geometry

Cell and atoms, written as POSCAR:
```
Ba2CdPb
1.0
8.162 0.000 0.000
0.000 8.409 0.000
0.000 0.000 8.920
Pb Ba Cd
4 8 4
direct
0.209 0.250 0.500
0.791 0.750 0.500
0.291 0.250 0.000
0.709 0.750 0.000
0.500 0.000 0.725
0.000 0.500 0.225
0.000 0.500 0.775
0.500 0.500 0.725
0.000 0.000 0.225
0.000 0.000 0.775
0.500 0.500 0.275
0.500 0.000 0.275
0.205 0.750 0.500
0.795 0.250 0.500
0.295 0.750 0.000
0.705 0.250 0.000
```

Results
The value obtained for the energy above the most stable polymorph in this dataset is 0.052 eV per atom.

---

Record 4
Compound: Ba2CdPb
Source: OQMD
Functional: PBE
Structure: optimized geometry

Cell and atoms, written as POSCAR:
```
Ba2CdPb
1.0
6.044 0.000 0.000
0.000 8.554 0.000
0.000 0.000 18.124
Pb Ba Cd
6 12 6
direct
0.500 0.000 0.500
0.500 0.000 0.833
0.000 0.500 0.333
0.000 0.500 0.667
0.500 0.000 0.167
0.000 0.500 0.000
0.000 0.250 0.833
0.000 0.250 0.500
0.000 0.750 0.167
0.500 0.250 0.000
0.000 0.750 0.500
0.500 0.750 0.667
0.500 0.750 0.333
0.000 0.250 0.167
0.000 0.750 0.833
0.500 0.250 0.333
0.500 0.750 0.000
0.500 0.250 0.667
0.000 0.000 0.667
0.500 0.500 0.833
0.000 0.000 0.000
0.500 0.500 0.167
0.500 0.500 0.500
0.000 0.000 0.333
```

Results
The value obtained for the energy above the most stable polymorph in this dataset is 0.000 eV per atom.

---

Record 5
Compound: BaTlCd2Pb
Source: OQMD
Functional: PBE
Structure: optimized geometry

Cell and atoms, written as POSCAR:
```
BaTlCd2Pb
1.0
5.041 0.000 0.000
0.000 5.041 0.000
0.000 0.000 12.425
Tl Pb Cd Ba
2 2 4 2
direct
0.000 0.500 0.871
0.500 0.000 0.129
0.500 0.500 0.500
0.000 0.000 0.500
0.000 0.000 0.000
0.500 0.000 0.359
0.000 0.500 0.641
0.500 0.500 0.000
0.000 0.500 0.244
0.500 0.000 0.756
```

---

Record 6
Compound: BaCdPd2
Source: OQMD
Functional: PBE
Structure: optimized geometry

Cell and atoms, written as POSCAR:
```
BaCdPd2
1.0
-4.026 -3.172 -0.403
-4.372 1.066 2.487
-4.167 1.457 -2.636
Cd Pd Ba
1 2 1
direct
0.250 0.250 0.250
0.000 0.000 0.000
0.750 0.750 0.750
0.500 0.500 0.500
```

---

Record 7
Compound: BaCdSb2Pd
Source: OQMD
Functional: PBE
Structure: optimized geometry

Cell and atoms, written as POSCAR:
```
BaCdSb2Pd
1.0
4.902 0.000 0.000
0.000 4.902 0.000
0.000 0.000 11.425
Cd Sb Pd Ba
2 4 2 2
direct
0.500 0.500 0.000
0.000 0.000 0.000
0.500 0.000 0.151
0.000 0.500 0.849
0.500 0.500 0.500
0.000 0.000 0.500
0.500 0.000 0.390
0.000 0.500 0.610
0.000 0.500 0.266
0.500 0.000 0.734
```

---

Record 8
Compound: BaCdSn2Pd
Source: OQMD
Functional: PBE
Structure: optimized geometry

Cell and atoms, written as POSCAR:
```
BaCdSn2Pd
1.0
4.818 0.000 0.000
0.000 4.818 0.000
0.000 0.000 11.675
Cd Sn Pd Ba
2 4 2 2
direct
0.000 0.000 0.000
0.500 0.500 0.000
0.000 0.500 0.846
0.500 0.500 0.500
0.000 0.000 0.500
0.500 0.000 0.154
0.500 0.000 0.385
0.000 0.500 0.615
0.000 0.500 0.258
0.500 0.000 0.742
```

Results
The value obtained for the energy above the most stable polymorph in this dataset is 0.000 eV per atom.

---

Record 9
Compound: BaCdSn2Pd
Source: OQMD
Functional: PBE
Structure: optimized geometry

Cell and atoms, written as POSCAR:
```
BaCdSn2Pd
1.0
-1.876 -4.194 -1.839
2.330 0.836 -4.284
9.078 -5.734 3.819
Sn Cd Ba Pd
4 2 2 2
direct
0.500 0.000 0.097
0.500 0.500 0.500
0.000 0.500 0.903
0.000 0.000 0.500
0.000 0.500 0.648
0.500 0.000 0.352
0.500 0.000 0.764
0.000 0.500 0.236
0.500 0.500 0.000
0.000 0.000 0.000
```

Results
The value obtained for the energy above the most stable polymorph in this dataset is 0.071 eV per atom.

---

Record 10
Compound: BaTl2CdPd
Source: OQMD
Functional: PBE
Structure: optimized geometry

Cell and atoms, written as POSCAR:
```
BaTl2CdPd
1.0
-1.491 -3.261 3.303
-2.450 -2.394 -3.469
9.695 -6.693 -2.230
Ba Cd Tl Pd
2 2 4 2
direct
0.500 0.000 0.740
0.000 0.500 0.260
0.000 0.000 0.000
0.500 0.500 0.000
0.000 0.000 0.500
0.500 0.000 0.150
0.000 0.500 0.850
0.500 0.500 0.500
0.000 0.500 0.621
0.500 0.000 0.379
```

---

Record 11
Compound: BaPrCd
Source: OQMD
Functional: PBE
Structure: optimized geometry

Cell and atoms, written as POSCAR:
```
BaPrCd
1.0
0.000 3.965 3.965
3.965 0.000 3.965
3.965 3.965 0.000
Cd Ba Pr
1 1 1
direct
0.000 0.000 0.000
0.250 0.250 0.250
0.750 0.750 0.750
```

Results
The value obtained for the total magnetization is 0.57 μB/f.u.

---

Record 12
Compound: BaCd2Pt2
Source: OQMD
Functional: PBE
Structure: optimized geometry

Cell and atoms, written as POSCAR:
```
BaCd2Pt2
1.0
2.190 -4.430 4.744
-3.539 -5.441 2.190
2.001 3.158 -5.740
Cd Pt Ba
2 2 1
direct
0.250 0.750 0.500
0.750 0.250 0.500
0.392 0.392 0.000
0.608 0.608 0.000
0.000 0.000 0.000
```

Results
The value obtained for the total magnetization is 0.01 μB/f.u.

---

Calculated final energy in order - -2.55 -2.30 -2.56 -2.61 -2.25 -3.39 -3.94 -3.81 -3.74 -2.89 -2.41 -3.73 eV per atom